Entry 1:
Entry from Alexandria: a relaxed Sc2InB2Ru5 crystal (PBE).

Geometry as POSCAR:
```
Sc2InB2Ru5
1.0
9.580 0.000 0.000
0.000 9.580 0.000
0.000 0.000 3.082
Sc In B Ru
4 2 4 10
Direct
0.177 0.323 0.000
0.323 0.823 0.000
0.677 0.177 0.000
0.823 0.677 0.000
0.000 0.000 0.000
0.500 0.500 0.000
0.124 0.624 0.000
0.376 0.124 0.000
0.624 0.876 0.000
0.876 0.376 0.000
0.000 0.500 0.500
0.071 0.775 0.500
0.225 0.071 0.500
0.275 0.571 0.500
0.429 0.275 0.500
0.500 0.000 0.500
0.571 0.725 0.500
0.725 0.429 0.500
0.775 0.929 0.500
0.929 0.225 0.500
```

Calculated values
* energy relative to the elements: -0.46 eV per atom



Entry 2:
Entry from Alexandria: a relaxed Ca2Sc2O crystal (PBE).

Geometry as POSCAR:
```
Ca2Sc2O
1.0
6.336 0.000 0.000
0.000 6.336 0.000
0.000 0.000 6.596
Ca Sc O
4 4 2
Direct
0.207 0.293 0.000
0.293 0.793 0.000
0.707 0.207 0.000
0.793 0.707 0.000
0.161 0.661 0.500
0.339 0.161 0.500
0.661 0.839 0.500
0.839 0.339 0.500
0.000 0.000 0.000
0.500 0.500 0.000
```

Calculated values
* E_form (uncorrected): -53.8 kJ/mol of atoms



Entry 3:
Entry from Alexandria: a relaxed SmY2Tm3As6 crystal (PBE).

Geometry as POSCAR:
```
SmY2Tm3As6
1.0
8.953 -2.055 0.000
8.953 2.055 0.000
-1.880 0.000 7.998
Sm Y Tm As
1 2 3 6
Direct
0.000 0.000 0.000
0.333 0.333 0.666
0.667 0.667 0.334
0.000 0.000 0.500
0.334 0.334 0.167
0.666 0.666 0.833
0.166 0.166 0.586
0.169 0.169 0.082
0.499 0.499 0.256
0.501 0.501 0.744
0.831 0.831 0.918
0.834 0.834 0.414
```

Calculated values
* energy relative to the elements: -1.52 eV per atom



For each record above, in turn, the calculated total moment values are 0.00 0.00 0.00 μB per cell.